DFT (PBE-GGA) results for a relaxed structure of Tb4TeS2.

a = 3.980 Å, b = 3.980 Å, c = 13.437 Å
α = 81.48°, β = 81.48°, γ = 60.00°
Atoms (fractional coordinates):
Tb 0.129 0.129 0.612
Tb 0.280 0.280 0.159
Tb 0.720 0.720 0.841
Tb 0.871 0.871 0.388
Te 0.000 0.000 0.000
S 0.424 0.424 0.729
S 0.576 0.576 0.271

DOS at the Fermi energy ... 2.43 states/eV per cell
Formation energy without anion corrections ... -1.504 eV/atom

***

DFT (PBE-GGA) results for a relaxed structure of CaPmTlPb.

a = 5.528 Å, b = 5.528 Å, c = 5.528 Å
α = 60.00°, β = 60.00°, γ = 60.00°
Atoms (fractional coordinates):
Pb 0.000 0.000 0.000
Tl 0.500 0.500 0.500
Ca 0.750 0.750 0.750
Pm 0.250 0.250 0.250

Energy above the most stable polymorph in this dataset ... 2.8 kJ per mole of atoms
DOS at the Fermi energy ... 2.24 states/eV per cell

***

DFT (PBE-GGA) results for a relaxed structure of TaOs2O.

a = 4.685 Å, b = 4.685 Å, c = 6.974 Å
α = 70.37°, β = 70.37°, γ = 90.00°
Atoms (fractional coordinates):
Os 0.497 0.125 0.250
Os 0.253 0.625 0.250
Os 0.375 0.503 0.750
Os 0.875 0.747 0.750
O 0.500 0.500 0.000
O 0.250 0.750 0.500
Ta 0.000 0.000 0.000
Ta 0.750 0.250 0.500

DOS at the Fermi energy ... 6.38 states/eV per cell
Formation energy without anion corrections ... 0.479 eV/atom

***

DFT (PBE-GGA) results for a relaxed structure of PmH2F.

a = 4.018 Å, b = 4.004 Å, c = 6.907 Å
α = 90.00°, β = 90.03°, γ = 60.12°
Atoms (fractional coordinates):
Pm 0.663 0.668 0.250
Pm 0.337 0.332 0.750
H 0.666 0.667 0.913
H 0.334 0.333 0.087
H 0.666 0.667 0.587
H 0.334 0.333 0.413
F 0.001 0.999 0.750
F 0.999 0.001 0.250

Energy above the most stable polymorph in this dataset ... 0.0 kJ per mole of atoms